The following is a PBE calculation of an optimized crystal structure of K2TcIr, from Alexandria via LeMat-Bulk.

Results
E = -3.4767 eV/atom
Fermi-level density of states = 13.4 states/eV/cell
energy of formation from the pure elements = 7.5 eV/f.u.
density = 5.85 g/cm3

Cell: 7.478 7.478 7.478 Å, 90.00 90.00 90.00°
Space group Fm-3m (No. 225)
Inequivalent atoms, fractional coordinates:
K: 0.250 0.250 0.250 [8 per cell]
Tc: 0.000 0.000 0.000 [4 per cell]
Ir: 0.000 0.000 0.500 [4 per cell]

The following is a PBE calculation of an optimized crystal structure of NaHfPCl2, from Alexandria via LeMat-Bulk.

Results
E = -5.0903 eV/atom
Fermi-level density of states = 0.6 states/eV/cell
formation energy from raw total energies = -5.08 eV/f.u.
density = 3.91 g/cm3

Cell: 5.057 5.057 5.038 Å, 90.00 90.00 90.00°
Space group P4/mmm (No. 123)
Inequivalent atoms, fractional coordinates:
Na: 0.000 0.000 0.000 [1 per cell]
Hf: 0.500 0.500 0.500 [1 per cell]
P: 0.500 0.500 0.000 [1 per cell]
Cl: 0.000 0.500 0.500 [2 per cell]

The following is a PBE calculation of an optimized crystal structure of VIBrN2, from Alexandria via LeMat-Bulk.

Results
E = -5.0825 eV/atom
Fermi-level density of states = 2.5 states/eV/cell
formation energy from raw total energies = 3.58 eV/f.u.
density = 5.19 g/cm3

Cell: 3.951 3.951 5.857 Å, 90.00 90.00 90.00°
Space group P4/mmm (No. 123)
Inequivalent atoms, fractional coordinates:
V: 0.000 0.000 0.000 [1 per cell]
I: 0.000 0.000 0.500 [1 per cell]
Br: 0.500 0.500 0.500 [1 per cell]
N: 0.000 0.500 0.000 [2 per cell]